Here is a geometry-optimized AgAu2Cl6 structure from Alexandria via LeMat-Bulk. Energies are from PBE.

Unit cell a=9.363 b=9.363 c=6.764 alpha=95.36 beta=95.36 gamma=80.47
Atoms (fractional coordinates):
1 Ag 0.176 0.824 0.750
2 Ag 0.824 0.176 0.250
3 Au 0.162 0.325 0.363
4 Au 0.325 0.162 0.863
5 Au 0.675 0.838 0.137
6 Au 0.838 0.675 0.637
7 Cl 0.012 0.698 0.417
8 Cl 0.016 0.688 0.909
9 Cl 0.302 0.988 0.083
10 Cl 0.312 0.984 0.591
11 Cl 0.343 0.347 0.138
12 Cl 0.347 0.343 0.638
13 Cl 0.653 0.657 0.362
14 Cl 0.657 0.653 0.862
15 Cl 0.688 0.016 0.409
16 Cl 0.698 0.012 0.917
17 Cl 0.984 0.312 0.091
18 Cl 0.988 0.302 0.583

## Properties
ρ = 4.09 g cm⁻³
Energy above the lowest structure with this stoichiometry = 0 meV/atom


Here is a geometry-optimized KBa15Ca4 structure from Alexandria via LeMat-Bulk. Energies are from PBE.

Unit cell a=6.864 b=6.864 c=24.968 alpha=90.00 beta=90.00 gamma=90.00
Atoms (fractional coordinates):
1 K 0.000 0.000 0.000
2 Ba 0.000 0.500 0.111
3 Ba 0.000 0.500 0.305
4 Ba 0.000 0.500 0.500
5 Ba 0.000 0.500 0.695
6 Ba 0.000 0.500 0.889
7 Ba 0.500 0.000 0.111
8 Ba 0.500 0.000 0.305
9 Ba 0.500 0.000 0.500
10 Ba 0.500 0.000 0.695
11 Ba 0.500 0.000 0.889
12 Ba 0.500 0.500 0.000
13 Ba 0.500 0.500 0.208
14 Ba 0.500 0.500 0.403
15 Ba 0.500 0.500 0.597
16 Ba 0.500 0.500 0.792
17 Ca 0.000 0.000 0.211
18 Ca 0.000 0.000 0.402
19 Ca 0.000 0.000 0.598
20 Ca 0.000 0.000 0.789

## Properties
ρ = 3.19 g cm⁻³
Calculated formation energy = 0.733 eV/f.u.